# 1
{"formula": "Sm3AlTl2", "functional": "PBE-GGA", "state": "optimized geometry", "formation_enthalpy_0k_ev_per_atom": -0.37, "sg": "No. 123", "e_tot_ev_per_atom": -4.14, "lattice": [[3.766, 0.000, 0.000], [0.000, 3.766, 0.000], [0.000, 0.000, 11.673]], "species": ["Sm", "Sm", "Sm", "Al", "Tl", "Tl"], "fractional_positions": [[0.000, 0.000, 0.000], [0.000, 0.000, 0.655], [0.000, 0.000, 0.345], [0.500, 0.500, 0.500], [0.500, 0.500, 0.829], [0.500, 0.500, 0.171]]}


# 2
{"formula": "SiBiP", "functional": "PBE-GGA", "state": "optimized geometry", "sg": "No. 1", "formation_energy_uncorrected_ev_per_atom": -0.05, "de_polymorph_mev_per_atom": 0, "e_tot_ev_per_atom": -4.96, "lattice": [[-3.015, -0.379, -1.711], [-2.429, -2.189, 1.210], [-3.358, 5.159, 4.170]], "species": ["P", "Si", "Bi"], "fractional_positions": [[0.467, 0.923, 0.842], [0.132, 0.568, 0.983], [0.131, 0.506, 0.353]]}


# 3
{"formula": "BaMgBe2", "functional": "PBE-GGA", "state": "optimized geometry", "formation_enthalpy_0k_ev_per_atom": 0.51, "sg": "No. 25", "de_polymorph_mev_per_atom": 210, "e_tot_ev_per_atom": -2.23, "lattice": [[-1.928, -1.052, -2.342], [0.558, -2.875, 0.833], [-6.510, 0.256, 5.243]], "species": ["Be", "Be", "Mg", "Ba"], "fractional_positions": [[0.000, 0.000, 0.099], [0.500, 0.500, 0.189], [0.000, 0.000, 0.419], [0.500, 0.500, 0.793]]}


# 4
{"formula": "GaOs2C", "functional": "PBE-GGA", "state": "optimized geometry", "formation_enthalpy_0k_ev_per_atom": 0.50, "sg": "No. 122", "de_polymorph_mev_per_atom": 0, "e_tot_ev_per_atom": -8.18, "lattice": [[-3.332, 3.330, -4.701], [1.401, -4.799, -4.392], [-2.988, -1.889, -3.931]], "species": ["C", "C", "Os", "Os", "Os", "Os", "Ga", "Ga"], "fractional_positions": [[0.500, 0.500, 0.000], [0.250, 0.750, 0.500], [0.519, 0.125, 0.250], [0.231, 0.625, 0.250], [0.375, 0.481, 0.750], [0.875, 0.769, 0.750], [0.000, 0.000, 0.000], [0.750, 0.250, 0.500]]}